VASP calculation (PBE-GGA) on crystalline Tl2Cu2Se3 at its relaxed geometry.

Computed properties:
Volume, Å³ per atom: 24.90
Energy relative to the elements, uncorrected, eV per atom: -0.223
Space group: C2/m (12)
M_tot, μB/cell: 0.00

Cell: 4.1242 9.0376 10.0233 Å, 76.17 78.13 76.81°
Closest atoms and distances in Å follow each position.
Atoms (fractional coordinates):
Tl 0.2628 0.1281 0.3463  6 Se 3.11-3.37
Tl 0.7372 0.8719 0.6537  6 Se 3.11-3.37
Tl 0.3754 0.2801 0.9691  7 Se 3.28-3.43, 3 Cu 3.39-3.53
Tl 0.6246 0.7199 0.0309  7 Se 3.28-3.43, 3 Cu 3.39-3.53
Cu 0.0203 0.2598 0.6996  4 Se 2.46-2.49
Cu 0.9797 0.7402 0.3004  4 Se 2.46-2.49
Cu 0.4229 0.5203 0.6339  4 Se 2.45-2.54, 1 Cu 2.72
Cu 0.5771 0.4797 0.3661  4 Se 2.45-2.54, 1 Cu 2.72
Se 0.0590 0.0123 0.8697  1 Cu 2.46, 1 Se 2.52
Se 0.9410 0.9877 0.1303  1 Cu 2.46, 1 Se 2.52
Se 0.1431 0.4842 0.2297  3 Cu 2.45-2.49
Se 0.8569 0.5158 0.7703  3 Cu 2.45-2.49
Se 0.4108 0.7413 0.4370  4 Cu 2.45-2.54
Se 0.5892 0.2587 0.5630  4 Cu 2.45-2.54